Record 1
First-principles (GGA-PBE) data for a geometry-optimized K2LiS2O4F2 structure, as listed in Alexandria via LeMat-Bulk.

The final energy comes out at -5.075 eV per atom. Its space group is P1. The total magnetization comes out at 1.00 μB/f.u. The excess energy over the best structure of this formula in the dataset is 0.00 eV per formula unit. For the formation energy from raw total energies, the calculation gives -1808 meV per atom.

abc: 4.6430 6.7099 7.7495
angles: 97.26 90.04 107.76
Fractional coordinates of all 11 atoms:
K 0.0000 0.0000 0.0000
K 0.2910 0.5151 0.7716
Li 0.3277 0.6708 0.2295
S 0.7206 0.3962 0.1438
S 0.9825 0.8428 0.5297
O 0.2420 0.7757 0.4612
O 0.3996 0.3982 0.1865
O 0.7506 0.3454 0.9490
O 0.8619 0.7317 0.6801
F 0.1784 0.0947 0.6446
F 0.4159 0.8137 0.0466

Record 2
First-principles (GGA-PBE) data for a geometry-optimized SbRhBr2 structure, as listed in Alexandria via LeMat-Bulk.

The final energy comes out at -3.467 eV per atom. Its space group is Cmmm. The total magnetization comes out at 0.21 μB/f.u. The excess energy over the best structure of this formula in the dataset is 2.72 eV per formula unit. For the formation energy from raw total energies, the calculation gives 238 meV per atom.

abc: 3.5226 3.5226 9.2778
angles: 90.00 90.00 122.50
Fractional coordinates of all 4 atoms:
Sb 0.0000 0.0000 0.0000
Rh 0.0000 0.0000 0.5000
Br 0.5000 0.5000 0.3010
Br 0.5000 0.5000 0.6990

Record 3
First-principles (GGA-PBE) data for a geometry-optimized TaAl2V structure, as listed in Alexandria via LeMat-Bulk.

The final energy comes out at -7.336 eV per atom. Its space group is P4/mmm. The total magnetization comes out at 0.00 μB/f.u. As for the formation energy: -21 kJ per mole of atoms. The excess energy over the best structure of this formula in the dataset is 0.00 eV per formula unit.

abc: 3.8818 3.8818 4.1312
angles: 90.00 90.00 90.00
Fractional coordinates of all 4 atoms:
Ta 0.0000 0.0000 0.0000
Al 0.0000 0.5000 0.5000
Al 0.5000 0.0000 0.5000
V 0.5000 0.5000 0.0000

Record 4
First-principles (GGA-PBE) data for a geometry-optimized Ba2PrF7 structure, as listed in Alexandria via LeMat-Bulk.

The final energy comes out at -6.095 eV per atom. Its space group is P1. The total magnetization comes out at 0.15 μB/f.u. For the formation energy from raw total energies, the calculation gives -3923 meV per atom.

abc: 4.4199 4.4263 9.8003
angles: 78.86 79.32 88.68
Fractional coordinates of all 10 atoms:
Ba 0.0000 0.0000 0.0000
Ba 0.3609 0.3470 0.3229
Pr 0.5907 0.5690 0.6821
F 0.0579 0.4961 0.7653
F 0.3354 0.7844 0.4953
F 0.4257 0.9097 0.1658
F 0.4877 0.4532 0.9349
F 0.5264 0.0319 0.7676
F 0.8005 0.3181 0.4950
F 0.9231 0.4179 0.1647

Record 5
First-principles (GGA-PBE) data for a geometry-optimized Ta2InCl structure, as listed in Alexandria via LeMat-Bulk.

The final energy comes out at -6.362 eV per atom. Its space group is I-4m2. The total magnetization comes out at 0.00 μB/f.u. The excess energy over the best structure of this formula in the dataset is 3.35 eV per formula unit. For the formation energy from raw total energies, the calculation gives 710 meV per atom.

abc: 5.2808 5.2808 5.2808
angles: 132.90 132.90 68.81
Fractional coordinates of all 4 atoms:
Ta 0.0000 0.0000 0.0000
Ta 0.7500 0.2500 0.5000
In 0.5000 0.5000 0.0000
Cl 0.2500 0.7500 0.5000

Record 6
First-principles (GGA-PBE) data for a geometry-optimized KGe2Au6 structure, as listed in Alexandria via LeMat-Bulk.

The final energy comes out at -3.431 eV per atom. Its space group is P4/mmm. The total magnetization comes out at 0.00 μB/f.u. As for the formation energy: -9 kJ per mole of atoms. The excess energy over the best structure of this formula in the dataset is 0.00 eV per formula unit.

abc: 4.5475 4.5475 8.9498
angles: 90.00 90.00 90.00
Fractional coordinates of all 9 atoms:
K 0.0000 0.0000 0.0000
Ge 0.5000 0.5000 0.1499
Ge 0.5000 0.5000 0.8501
Au 0.0000 0.0000 0.5000
Au 0.0000 0.5000 0.2932
Au 0.0000 0.5000 0.7068
Au 0.5000 0.0000 0.2932
Au 0.5000 0.0000 0.7068
Au 0.5000 0.5000 0.5000

Record 7
First-principles (GGA-PBE) data for a geometry-optimized ErP structure, as listed in Alexandria via LeMat-Bulk.

The final energy comes out at -6.029 eV per atom. Its space group is Pm-3m. The total magnetization comes out at 0.00 μB/f.u. As for the formation energy: -101 kJ per mole of atoms.

abc: 3.4390 3.4390 3.4390
angles: 90.00 90.00 90.00
Fractional coordinates of all 2 atoms:
Er 0.0000 0.0000 0.0000
P 0.5000 0.5000 0.5000

Record 8
First-principles (GGA-PBE) data for a geometry-optimized KBeTlHg2 structure, as listed in Alexandria via LeMat-Bulk.

The final energy comes out at -1.506 eV per atom. Its space group is P4/mmm. The total magnetization comes out at 0.00 μB/f.u. As for the formation energy: 5 kJ per mole of atoms.

abc: 5.0963 5.0963 5.1052
angles: 90.00 90.00 90.00
Fractional coordinates of all 5 atoms:
K 0.0000 0.0000 0.0000
Be 0.5000 0.5000 0.5000
Tl 0.5000 0.5000 0.0000
Hg 0.0000 0.5000 0.5000
Hg 0.5000 0.0000 0.5000

Record 9
First-principles (GGA-PBE) data for a geometry-optimized TbSmMgMn structure, as listed in Alexandria via LeMat-Bulk.

The final energy comes out at -4.923 eV per atom. Its space group is F-43m. The total magnetization comes out at 3.24 μB/f.u. As for the formation energy: 10 kJ per mole of atoms.

abc: 5.2420 5.2420 5.2420
angles: 60.00 60.00 60.00
Fractional coordinates of all 4 atoms:
Tb 0.0000 0.0000 0.0000
Sm 0.5000 0.5000 0.5000
Mg 0.2500 0.2500 0.2500
Mn 0.7500 0.7500 0.7500

Record 10
First-principles (GGA-PBE) data for a geometry-optimized Li4Se structure, as listed in Alexandria via LeMat-Bulk.

The final energy comes out at -2.515 eV per atom. Its space group is I4/mmm. The total magnetization comes out at 0.00 μB/f.u. The excess energy over the best structure of this formula in the dataset is 1.26 eV per formula unit. For the formation energy from raw total energies, the calculation gives -287 meV per atom.

abc: 7.8429 7.8429 7.8429
angles: 153.03 153.03 38.52
Fractional coordinates of all 5 atoms:
Li 0.0791 0.0791 0.0000
Li 0.2500 0.7500 0.5000
Li 0.7500 0.2500 0.5000
Li 0.9209 0.9209 0.0000
Se 0.5000 0.5000 0.0000

Record 11
First-principles (GGA-PBE) data for a geometry-optimized SrHfS2 structure, as listed in Alexandria via LeMat-Bulk.

The final energy comes out at -6.022 eV per atom. Its space group is Fm-3m. The total magnetization comes out at 1.71 μB/f.u. The excess energy over the best structure of this formula in the dataset is 0.79 eV per formula unit. For the formation energy from raw total energies, the calculation gives -1049 meV per atom.

abc: 4.8305 4.8305 4.8305
angles: 60.00 60.00 60.00
Fractional coordinates of all 4 atoms:
Sr 0.0000 0.0000 0.0000
Hf 0.5000 0.5000 0.5000
S 0.2500 0.2500 0.2500
S 0.7500 0.7500 0.7500

Record 12
First-principles (GGA-PBE) data for a geometry-optimized LiCuNiSb structure, as listed in Alexandria via LeMat-Bulk.

The final energy comes out at -4.201 eV per atom. Its space group is F-43m. The total magnetization comes out at 0.00 μB/f.u. For the formation energy from raw total energies, the calculation gives -222 meV per atom.

abc: 4.2989 4.2989 4.2989
angles: 60.00 60.00 60.00
Fractional coordinates of all 4 atoms:
Li 0.0000 0.0000 0.0000
Cu 0.7500 0.7500 0.7500
Ni 0.5000 0.5000 0.5000
Sb 0.2500 0.2500 0.2500

Across the entries above, calculated volume takes the values 20.72; 24.27; 15.56; 18.48; 19.40; 20.56; 20.34; 26.52; 25.46; 19.82; 19.93; 14.04 Å³ per atom, respectively.